[1]
Below is a relaxed BeNi4Cl crystal, with properties calculated at the PBE level.

Uncorrected formation energy (meV/atom): 584
Calculated total energy (eV per atom): -4.20

Lattice parameters (Å, degrees): 6.7151 6.7151 6.7151 90.00 90.00 90.00
Space group F-43m (No. 216)
Asymmetric unit:
Be 0.0000 0.0000 0.0000
Ni 0.1262 0.1262 0.3738
Cl 0.2500 0.2500 0.7500



[2]
Below is a relaxed BeNiCl3 crystal, with properties calculated at the PBE level.

Uncorrected formation energy (meV/atom): -128
Calculated total energy (eV per atom): -3.14

Lattice parameters (Å, degrees): 4.4907 4.4907 4.4907 90.00 90.00 90.00
Space group Pm-3m (No. 221)
Asymmetric unit:
Be 0.0000 0.0000 0.0000
Ni 0.5000 0.5000 0.5000
Cl 0.0000 0.0000 0.5000



[3]
Below is a relaxed BeNiCl4 crystal, with properties calculated at the PBE level.

Uncorrected formation energy (meV/atom): 1248
Calculated total energy (eV per atom): -1.57

Lattice parameters (Å, degrees): 8.2520 8.2520 8.2520 90.00 90.00 90.00
Space group F-43m (No. 216)
Asymmetric unit:
Be 0.0000 0.0000 0.0000
Ni 0.2500 0.2500 0.2500
Cl 0.1247 0.1247 0.6247



[4]
Below is a relaxed Be4NiCl crystal, with properties calculated at the PBE level.

Uncorrected formation energy (meV/atom): 472
Calculated total energy (eV per atom): -3.28

Lattice parameters (Å, degrees): 6.3086 6.3086 6.3086 90.00 90.00 90.00
Space group F-43m (No. 216)
Asymmetric unit:
Be 0.1229 0.1229 0.3771
Ni 0.2500 0.2500 0.7500
Cl 0.0000 0.0000 0.0000



[5]
Below is a relaxed BeNiCl3 crystal, with properties calculated at the PBE level.

Uncorrected formation energy (meV/atom): 161
Calculated total energy (eV per atom): -2.85

Lattice parameters (Å, degrees): 4.6008 4.6008 4.6008 90.00 90.00 90.00
Space group Pm-3m (No. 221)
Asymmetric unit:
Be 0.0000 0.0000 0.0000
Ni 0.5000 0.5000 0.5000
Cl 0.0000 0.5000 0.5000



[6]
Below is a relaxed BeNi3Cl crystal, with properties calculated at the PBE level.

Uncorrected formation energy (meV/atom): 630
Calculated total energy (eV per atom): -3.95

Lattice parameters (Å, degrees): 4.0315 4.0315 4.0315 90.00 90.00 90.00
Space group Pm-3m (No. 221)
Asymmetric unit:
Be 0.0000 0.0000 0.0000
Ni 0.0000 0.0000 0.5000
Cl 0.5000 0.5000 0.5000



[7]
Below is a relaxed BeNiSCl2 crystal, with properties calculated at the PBE level.

Uncorrected formation energy (meV/atom): 365
Calculated total energy (eV per atom): -3.10

Lattice parameters (Å, degrees): 4.4337 4.4337 4.7527 90.00 90.00 90.00
Space group P4/mmm (No. 123)
Asymmetric unit:
Be 0.0000 0.0000 0.0000
Ni 0.5000 0.5000 0.5000
S 0.5000 0.5000 0.0000
Cl 0.0000 0.5000 0.5000



[8]
Below is a relaxed BeNiSCl2 crystal, with properties calculated at the PBE level.

Uncorrected formation energy (meV/atom): 156
Calculated total energy (eV per atom): -3.31

Lattice parameters (Å, degrees): 4.1410 4.1410 5.2804 90.00 90.00 90.00
Space group P4/mmm (No. 123)
Asymmetric unit:
Be 0.0000 0.0000 0.0000
Ni 0.5000 0.5000 0.5000
S 0.0000 0.0000 0.5000
Cl 0.0000 0.5000 0.0000



[9]
Below is a relaxed BeNiS2Cl crystal, with properties calculated at the PBE level.

Uncorrected formation energy (meV/atom): 436
Calculated total energy (eV per atom): -3.49

Lattice parameters (Å, degrees): 4.2982 4.2982 4.5134 90.00 90.00 90.00
Space group P4/mmm (No. 123)
Asymmetric unit:
Be 0.0000 0.0000 0.0000
Ni 0.5000 0.5000 0.5000
S 0.0000 0.5000 0.0000
Cl 0.0000 0.0000 0.5000



[10]
Below is a relaxed BeNiS2Cl crystal, with properties calculated at the PBE level.

Uncorrected formation energy (meV/atom): 573
Calculated total energy (eV per atom): -3.35

Lattice parameters (Å, degrees): 4.4624 4.4624 4.5060 90.00 90.00 90.00
Space group P4/mmm (No. 123)
Asymmetric unit:
Be 0.0000 0.0000 0.0000
Ni 0.5000 0.5000 0.5000
S 0.0000 0.5000 0.5000
Cl 0.5000 0.5000 0.0000



[11]
Below is a relaxed TiBe2NiCl crystal, with properties calculated at the PBE level.

Uncorrected formation energy (meV/atom): 1470
Calculated total energy (eV per atom): -3.13

Lattice parameters (Å, degrees): 4.8791 4.8791 4.3652 90.00 90.00 90.00
Space group P4/mmm (No. 123)
Asymmetric unit:
Ti 0.0000 0.0000 0.0000
Be 0.0000 0.5000 0.0000
Ni 0.0000 0.0000 0.5000
Cl 0.5000 0.5000 0.5000



[12]
Below is a relaxed NpBe2Cl8 crystal, with properties calculated at the PBE level.

Uncorrected formation energy (meV/atom): -1430
Calculated total energy (eV per atom): -4.63

Lattice parameters (Å, degrees): 12.6139 8.4436 6.0817 90.00 95.89 90.00
Space group C2/m (No. 12)
Asymmetric unit:
Np 0.0000 0.0000 0.0000
Be 0.1889 0.0000 0.6497
Cl 0.1029 0.1936 0.7582
Cl 0.1632 0.5000 0.2572
Cl 0.1662 0.0000 0.3008